# 1
Here is an optimized crystal structure of CsPu2CoO8 from Alexandria via LeMat-Bulk. Energies are from PBE with a Hubbard U.

The structure in POSCAR format:
```
CsPu2CoO8
1.0
5.476 0.000 0.000
-2.738 4.742 0.000
0.000 0.000 7.603
Cs Pu Co O
1 2 1 8
direct
0.000 0.000 0.500
0.667 0.333 0.089
0.333 0.667 0.911
0.000 0.000 0.000
0.927 0.656 0.880
0.344 0.271 0.880
0.729 0.073 0.880
0.073 0.344 0.120
0.656 0.729 0.120
0.271 0.927 0.120
0.667 0.333 0.335
0.333 0.667 0.665
```

Properties
Spin magnetization: 4.00 μB/cell
Final energy: -8.10 eV/atom

# 2
Here is an optimized crystal structure of Cs2RbCoO2 from Alexandria via LeMat-Bulk. Energies are from PBE with a Hubbard U.

The structure in POSCAR format:
```
Cs2RbCoO2
1.0
4.622 0.000 0.000
0.000 6.278 0.000
0.000 0.000 11.745
Cs Rb Co O
4 2 2 4
direct
0.500 0.071 0.228
0.000 0.571 0.272
0.500 0.929 0.772
0.000 0.429 0.728
0.500 0.500 0.000
0.000 0.000 0.500
0.000 0.000 0.000
0.500 0.500 0.500
0.500 0.717 0.402
0.500 0.283 0.598
0.000 0.783 0.902
0.000 0.217 0.098
```

Properties
Spin magnetization: 4.00 μB/cell
Final energy: -3.93 eV/atom

# 3
Here is an optimized crystal structure of CsRbCoO2 from Alexandria via LeMat-Bulk. Energies are from PBE with a Hubbard U.

The structure in POSCAR format:
```
CsRbCoO2
1.0
-3.369 6.916 7.164
1.428 -2.894 3.466
5.915 2.898 -0.017
Cs Rb Co O
2 2 2 4
direct
0.131 0.250 0.500
0.869 0.750 0.500
0.713 0.750 0.000
0.287 0.250 0.000
0.000 0.000 0.000
0.000 0.500 0.000
0.929 0.250 0.809
0.929 0.250 0.191
0.071 0.750 0.809
0.071 0.750 0.191
```

Properties
Spin magnetization: 2.83 μB/cell
Final energy: -4.28 eV/atom

# 4
Here is an optimized crystal structure of CsCoRe2O8 from Alexandria via LeMat-Bulk. Energies are from PBE with a Hubbard U.

The structure in POSCAR format:
```
CsCoRe2O8
1.0
5.653 -0.038 0.029
2.574 5.033 0.029
0.435 0.264 8.550
Cs Co Re O
1 1 2 8
direct
0.000 0.000 0.500
0.000 0.000 0.000
0.643 0.643 0.204
0.357 0.357 0.796
0.699 0.209 0.835
0.800 0.800 0.088
0.678 0.678 0.404
0.322 0.322 0.596
0.200 0.200 0.912
0.209 0.699 0.835
0.791 0.301 0.165
0.301 0.791 0.165
```

Properties
Spin magnetization: 2.00 μB/cell
Final energy: -7.49 eV/atom

# 5
Here is an optimized crystal structure of Cs2CoRhO4 from Alexandria via LeMat-Bulk. Energies are from PBE with a Hubbard U.

The structure in POSCAR format:
```
Cs2CoRhO4
1.0
5.655 0.000 0.000
2.827 7.068 0.000
2.827 0.000 10.266
Cs Co Rh O
4 2 2 8
direct
0.168 0.000 0.664
0.832 0.000 0.336
0.582 0.500 0.836
0.918 0.500 0.164
0.750 0.500 0.500
0.000 0.000 0.000
0.250 0.500 0.500
0.500 0.000 0.000
0.321 0.819 0.005
0.146 0.181 0.995
0.860 0.819 0.995
0.673 0.181 0.005
0.429 0.681 0.495
0.604 0.319 0.505
0.890 0.681 0.505
0.077 0.319 0.495
```

Properties
Spin magnetization: 0.02 μB/cell
Final energy: -5.21 eV/atom

# 6
Here is an optimized crystal structure of Cs2CoSbO4 from Alexandria via LeMat-Bulk. Energies are from PBE with a Hubbard U.

The structure in POSCAR format:
```
Cs2CoSbO4
1.0
-3.517 -2.432 4.485
-2.385 -4.794 -3.733
6.076 1.180 0.756
Cs Co Sb O
2 1 1 4
direct
0.503 0.003 0.006
0.256 0.256 0.512
0.985 0.485 0.970
0.751 0.751 0.501
0.742 0.575 0.688
0.843 0.507 0.205
0.362 0.698 0.205
0.945 0.112 0.686
```

Properties
Spin magnetization: 2.18 μB/cell
Final energy: -5.13 eV/atom

# 7
Here is an optimized crystal structure of CsCoSbO2 from Alexandria via LeMat-Bulk. Energies are from PBE with a Hubbard U.

The structure in POSCAR format:
```
CsCoSbO2
1.0
-1.698 -3.870 -0.725
6.164 -2.328 -2.005
0.881 -1.143 4.038
Cs Sb Co O
1 1 1 2
direct
0.000 0.000 0.000
0.500 0.500 0.500
0.000 0.500 0.000
0.000 0.000 0.500
0.500 0.000 0.000
```

Properties
Spin magnetization: 1.57 μB/cell
Final energy: -3.01 eV/atom

# 8
Here is an optimized crystal structure of Cs4Sm3CoO8 from Alexandria via LeMat-Bulk. Energies are from PBE with a Hubbard U.

The structure in POSCAR format:
```
Cs4Sm3CoO8
1.0
-5.852 1.570 -3.611
0.352 -7.103 -3.657
-0.226 -0.118 7.204
Cs Sm Co O
4 3 1 8
direct
0.500 0.000 0.000
0.500 0.000 0.500
0.000 0.000 0.000
0.000 0.000 0.500
0.500 0.500 0.000
0.500 0.500 0.500
0.000 0.500 0.500
0.000 0.500 0.000
0.196 0.652 0.948
0.245 0.690 0.489
0.281 0.332 0.562
0.752 0.652 0.948
0.248 0.348 0.052
0.719 0.668 0.438
0.755 0.310 0.511
0.804 0.348 0.052
```

Properties
Spin magnetization: 3.94 μB/cell
Final energy: -5.95 eV/atom

# 9
Here is an optimized crystal structure of CsSmCoO3 from Alexandria via LeMat-Bulk. Energies are from PBE with a Hubbard U.

The structure in POSCAR format:
```
CsSmCoO3
1.0
-2.879 -1.721 1.482
4.965 -3.262 5.859
-2.941 7.403 2.882
Cs Sm Co O
2 2 2 6
direct
0.250 0.206 0.225
0.750 0.794 0.775
0.250 0.656 0.147
0.750 0.344 0.853
0.250 0.077 0.616
0.750 0.923 0.384
0.750 0.841 0.147
0.250 0.159 0.853
0.250 0.849 0.443
0.750 0.151 0.557
0.750 0.472 0.134
0.250 0.528 0.866
```

Properties
Spin magnetization: 6.01 μB/cell
Final energy: -6.30 eV/atom

# 10
Here is an optimized crystal structure of Cs2CoSnO4 from Alexandria via LeMat-Bulk. Energies are from PBE with a Hubbard U.

The structure in POSCAR format:
```
Cs2CoSnO4
1.0
-3.621 -3.185 -2.747
2.199 -1.759 -6.465
3.047 -10.671 2.749
Cs Co Sn O
4 2 2 8
direct
0.177 0.000 0.646
0.823 0.000 0.354
0.573 0.500 0.854
0.927 0.500 0.146
0.250 0.500 0.500
0.500 0.000 0.000
0.750 0.500 0.500
0.000 0.000 0.000
0.288 0.831 0.086
0.205 0.169 0.914
0.881 0.831 0.914
0.626 0.169 0.086
0.462 0.669 0.414
0.545 0.331 0.586
0.869 0.669 0.586
0.124 0.331 0.414
```

Properties
Spin magnetization: 6.02 μB/cell
Final energy: -5.14 eV/atom

# 11
Here is an optimized crystal structure of CsSrCoO4 from Alexandria via LeMat-Bulk. Energies are from PBE with a Hubbard U.

The structure in POSCAR format:
```
CsSrCoO4
1.0
6.608 0.000 0.000
3.304 5.723 0.000
3.304 1.908 5.395
Cs Sr Co O
1 1 1 4
direct
0.750 0.750 0.750
0.500 0.500 0.500
0.250 0.250 0.250
0.357 0.357 0.928
0.357 0.357 0.357
0.357 0.928 0.357
0.928 0.357 0.357
```

Properties
Spin magnetization: 4.00 μB/cell
Final energy: -5.19 eV/atom

# 12
Here is an optimized crystal structure of Cs2TbCoO4 from Alexandria via LeMat-Bulk. Energies are from PBE with a Hubbard U.

The structure in POSCAR format:
```
Cs2TbCoO4
1.0
5.700 0.000 0.000
2.850 6.465 0.000
2.850 0.000 11.746
Cs Tb Co O
4 2 2 8
direct
0.183 0.000 0.634
0.817 0.000 0.366
0.567 0.500 0.866
0.933 0.500 0.134
0.750 0.500 0.500
0.000 0.000 0.000
0.250 0.500 0.500
0.500 0.000 0.000
0.329 0.827 0.076
0.231 0.173 0.924
0.845 0.827 0.924
0.595 0.173 0.076
0.421 0.673 0.424
0.519 0.327 0.576
0.905 0.673 0.576
0.155 0.327 0.424
```

Properties
Spin magnetization: 8.10 μB/cell
Final energy: -5.58 eV/atom